## LaIr2Cl (PBE-GGA)

Data for a relaxed structure of LaIr2Cl.

Output
Density of states at the Fermi level ... 1.42 states/eV/atom
Energy above the most stable polymorph in this dataset ... 325 meV/atom
Total magnetic moment ... 0.002 μB/atom
Formation energy from raw total energies ... -116 kJ/mol of formula units

a = 6.1568 Å, b = 6.1568 Å, c = 6.1568 Å
α = 143.71°, β = 143.71°, γ = 52.26°
Closest atoms and distances in Å follow each position.
Sites, in units of the cell vectors:
Cl: 0.7500 0.2500 0.5000  4 La 2.71
Ir: 0.0000 0.0000 0.0000  4 Ir 2.71
Ir: 0.5000 0.5000 0.0000  4 Ir 2.71
La: 0.2500 0.7500 0.5000  4 Cl 2.71